Y3ZrNi8: optimized geometry, PBE.

Cell lengths 8.7519, 8.7519, 8.7519 Å; angles 33.49, 33.49, 33.49 degrees
Last column: nearest neighbours and their distance in Å.
Sites, in units of the cell vectors:
1 Y 0.0000 0.0000 0.0000  12 Ni 2.90-2.95, 3 Zr 3.09, 1 Y 3.11
2 Y 0.1256 0.1256 0.1256  12 Ni 2.96-3.01, 4 Y 3.09-3.11
3 Y 0.5013 0.5013 0.5013  12 Ni 2.96-3.03, 1 Zr 3.07, 3 Y 3.09
4 Zr 0.6253 0.6253 0.6253  12 Ni 2.92-2.96, 4 Y 3.07-3.09
5 Ni 0.0584 0.5625 0.5625  6 Ni 2.49-2.56
6 Ni 0.0640 0.0640 0.5669  6 Ni 2.49-2.56
7 Ni 0.0640 0.5669 0.0640  6 Ni 2.49-2.56
8 Ni 0.3131 0.3131 0.3131  6 Ni 2.49
9 Ni 0.5625 0.0584 0.5625  6 Ni 2.49-2.56
10 Ni 0.5625 0.5625 0.0584  6 Ni 2.49-2.56
11 Ni 0.5669 0.0640 0.0640  6 Ni 2.49-2.56
12 Ni 0.8130 0.8130 0.8130  6 Ni 2.56

For the total energy, the calculation gives -6.59 eV/atom. The mass density is 7.56 g cm⁻³. The total magnetic moment comes out at 0.0 μB/f.u. For the energy relative to the elements, the calculation gives -0.40 eV per atom. The space group is R3m.

CsGa2TcGe: optimized geometry, PBE.

Cell lengths 5.0406, 5.0406, 4.8884 Å; angles 90.00, 90.00, 90.00 degrees
Last column: nearest neighbours and their distance in Å.
Sites, in units of the cell vectors:
1 Cs 0.0000 0.0000 0.0000  8 Ga 3.51, 4 Ge 3.56
2 Ga 0.0000 0.5000 0.5000  2 Tc 2.52
3 Ga 0.5000 0.0000 0.5000  2 Tc 2.52
4 Tc 0.5000 0.5000 0.5000  2 Ge 2.44, 4 Ga 2.52
5 Ge 0.5000 0.5000 0.0000  2 Tc 2.44

For the total energy, the calculation gives -4.51 eV/atom. The mass density is 5.92 g cm⁻³. The total magnetic moment comes out at 0.0 μB/f.u. For the energy relative to the elements, the calculation gives -0.13 eV per atom. The space group is P4/mmm.

Mg2CdRe: optimized geometry, PBE.

Cell lengths 4.9822, 4.9822, 5.3766 Å; angles 96.78, 96.78, 33.05 degrees
Last column: nearest neighbours and their distance in Å.
Sites, in units of the cell vectors:
1 Mg 0.2455 0.2455 0.2289  4 Mg 2.83-2.85, 3 Re 2.86-2.88, 3 Cd 2.91-3.03
2 Mg 0.7545 0.7545 0.7711  4 Mg 2.83-2.85, 3 Re 2.86-2.88, 3 Cd 2.91-3.03
3 Cd 0.0000 0.0000 0.5000  2 Cd 2.83, 6 Mg 2.91-3.03, 4 Re 3.04
4 Re 0.5000 0.5000 0.0000  2 Re 2.83, 6 Mg 2.86-2.88, 4 Cd 3.04

For the total energy, the calculation gives -3.81 eV/atom. The mass density is 7.98 g cm⁻³. The total magnetic moment comes out at 0.0 μB/f.u. For the energy relative to the elements, the calculation gives 0.33 eV per atom. The space group is C2/m.

Sr3HS: optimized geometry, PBE.

Cell lengths 5.3094, 5.3094, 5.3094 Å; angles 90.00, 90.00, 90.00 degrees
Last column: nearest neighbours and their distance in Å.
Sites, in units of the cell vectors:
1 Sr 0.0000 0.0000 0.5000  2 H 2.65
2 Sr 0.0000 0.5000 0.0000  2 H 2.65
3 Sr 0.5000 0.0000 0.0000  2 H 2.65
4 H 0.0000 0.0000 0.0000  6 Sr 2.65
5 S 0.5000 0.5000 0.5000  12 Sr 3.75

For the total energy, the calculation gives -2.83 eV/atom. The mass density is 3.28 g cm⁻³. The total magnetic moment comes out at 0.0 μB/f.u. As for the energy above the most stable polymorph in this dataset: 0 meV/atom. The space group is Pm-3m.

MgOs3S: optimized geometry, PBE.

Cell lengths 4.3555, 4.3555, 4.3555 Å; angles 90.00, 90.00, 90.00 degrees
Last column: nearest neighbours and their distance in Å.
Sites, in units of the cell vectors:
1 Mg 0.0000 0.0000 0.0000  12 Os 3.08
2 Os 0.0000 0.5000 0.5000  2 S 2.18
3 Os 0.5000 0.0000 0.5000  2 S 2.18
4 Os 0.5000 0.5000 0.0000  2 S 2.18
5 S 0.5000 0.5000 0.5000  6 Os 2.18

For the total energy, the calculation gives -7.06 eV/atom. The mass density is 12.60 g cm⁻³. The total magnetic moment comes out at 0.0 μB/f.u. For the uncorrected formation energy, the calculation gives 0.82 eV per atom. As for the energy above the most stable polymorph in this dataset: 0 meV/atom. The space group is Pm-3m.

DyTh2Mn: optimized geometry, PBE.

Cell lengths 3.5671, 3.5671, 8.6155 Å; angles 90.00, 90.00, 90.00 degrees
Last column: nearest neighbours and their distance in Å.
Sites, in units of the cell vectors:
1 Dy 0.0000 0.0000 0.0000  4 Dy 3.57, 8 Th 3.57
2 Th 0.5000 0.5000 0.2932  4 Mn 3.09
3 Th 0.5000 0.5000 0.7068  4 Mn 3.09
4 Mn 0.0000 0.0000 0.5000  8 Th 3.09

For the total energy, the calculation gives -7.00 eV/atom. The mass density is 10.32 g cm⁻³. The total magnetic moment comes out at 3.0 μB/f.u. For the energy relative to the elements, the calculation gives 0.16 eV per atom. As for the energy above the most stable polymorph in this dataset: 0 meV/atom. The space group is P4/mmm.

Li2CaPt2: optimized geometry, PBE.

Cell lengths 7.4697, 7.4697, 2.9174 Å; angles 90.00, 90.00, 90.00 degrees
Last column: nearest neighbours and their distance in Å.
Sites, in units of the cell vectors:
1 Li 0.1144 0.3856 0.0000  1 Li 2.42, 6 Pt 2.61-2.69
2 Li 0.3856 0.8856 0.0000  1 Li 2.42, 6 Pt 2.61-2.69
3 Li 0.6144 0.1144 0.0000  1 Li 2.42, 6 Pt 2.61-2.69
4 Li 0.8856 0.6144 0.0000  1 Li 2.42, 6 Pt 2.61-2.69
5 Ca 0.0000 0.0000 0.0000  2 Ca 2.92, 4 Li 3.00, 8 Pt 3.11
6 Ca 0.5000 0.5000 0.0000  2 Ca 2.92, 4 Li 3.00, 8 Pt 3.11
7 Pt 0.1803 0.6803 0.5000  6 Li 2.61-2.69, 2 Pt 2.92
8 Pt 0.3197 0.1803 0.5000  6 Li 2.61-2.69, 2 Pt 2.92
9 Pt 0.6803 0.8197 0.5000  6 Li 2.61-2.69, 2 Pt 2.92
10 Pt 0.8197 0.3197 0.5000  6 Li 2.61-2.69, 2 Pt 2.92

For the total energy, the calculation gives -4.22 eV/atom. The mass density is 9.06 g cm⁻³. The total magnetic moment comes out at 0.0 μB/f.u. For the energy relative to the elements, the calculation gives -0.63 eV per atom. As for the energy above the most stable polymorph in this dataset: 0 meV/atom. The space group is P4/mbm.

Co5Ag4: optimized geometry, PBE.

Cell lengths 6.0504, 6.0504, 6.0504 Å; angles 95.96, 95.96, 142.39 degrees
Last column: nearest neighbours and their distance in Å.
Sites, in units of the cell vectors:
1 Co 0.0000 0.0000 0.0000  8 Co 2.58, 4 Ag 2.61
2 Co 0.3530 0.3530 0.7061  4 Co 2.38-2.58
3 Co 0.3530 0.6470 0.0000  4 Co 2.38-2.58
4 Co 0.6470 0.3530 0.0000  4 Co 2.38-2.58
5 Co 0.6470 0.6470 0.2939  4 Co 2.38-2.58
6 Ag 0.0000 0.3218 0.3218  7 Co 2.61-2.87, 5 Ag 2.82-2.89
7 Ag 0.0000 0.6782 0.6782  7 Co 2.61-2.87, 5 Ag 2.82-2.89
8 Ag 0.3218 0.0000 0.3218  7 Co 2.61-2.87, 5 Ag 2.82-2.89
9 Ag 0.6782 0.0000 0.6782  7 Co 2.61-2.87, 5 Ag 2.82-2.89

For the total energy, the calculation gives -4.85 eV/atom. The mass density is 9.42 g cm⁻³. The total magnetic moment comes out at 8.8 μB/f.u. For the energy relative to the elements, the calculation gives 0.37 eV per atom. The space group is I4/mmm.